one | Material: Hf2Cd2Sb
Method: DFT, PBE
State: relaxed

Cell and atoms, written as CIF:
```
data_Hf2Cd2Sb
_chemical_formula_sum 'Hf4 Cd4 Sb2'
_cell_length_a 8.077
_cell_length_b 8.077
_cell_length_c 3.539
_cell_angle_alpha 90.00
_cell_angle_beta 90.00
_cell_angle_gamma 90.00
_space_group_name_H-M_alt 'P 4/m b m'
_space_group_IT_number 127
_space_group_name_Hall '-P 4 2ab'
loop_
_atom_site_label
_atom_site_type_symbol
_atom_site_fract_x
_atom_site_fract_y
_atom_site_fract_z
Hf1 Hf 0.176 0.324 0.000
Cd1 Cd 0.123 0.623 0.500
Sb1 Sb 0.000 0.000 0.500
```

***

two | Material: Hf2Cd2Sb
Method: DFT, PBE
State: relaxed

Cell and atoms, written as CIF:
```
data_Hf2Cd2Sb
_chemical_formula_sum 'Hf4 Cd4 Sb2'
_cell_length_a 7.330
_cell_length_b 7.330
_cell_length_c 4.487
_cell_angle_alpha 90.00
_cell_angle_beta 90.00
_cell_angle_gamma 90.00
_space_group_name_H-M_alt 'P 4/m b m'
_space_group_IT_number 127
_space_group_name_Hall '-P 4 2ab'
loop_
_atom_site_label
_atom_site_type_symbol
_atom_site_fract_x
_atom_site_fract_y
_atom_site_fract_z
Hf1 Hf 0.150 0.350 0.000
Cd1 Cd 0.146 0.646 0.500
Sb1 Sb 0.000 0.000 0.000
```

***

three | Material: Hf2Cd2Sb
Method: DFT, PBE
State: relaxed

Cell and atoms, written as CIF:
```
data_Hf2Cd2Sb
_chemical_formula_sum 'Hf4 Cd4 Sb2'
_cell_length_a 4.106
_cell_length_b 4.106
_cell_length_c 14.758
_cell_angle_alpha 90.00
_cell_angle_beta 90.00
_cell_angle_gamma 90.00
_space_group_name_H-M_alt 'I 4/m m m'
_space_group_IT_number 139
_space_group_name_Hall '-I 4 2'
loop_
_atom_site_label
_atom_site_type_symbol
_atom_site_fract_x
_atom_site_fract_y
_atom_site_fract_z
Hf1 Hf 0.000 0.500 0.250
Cd1 Cd 0.000 0.000 0.095
Sb1 Sb 0.000 0.000 0.500
```

***

Which structure wins on stability? two wins.